(1)
Density functional theory data (meta-GGA SCAN) for a PBEsol-optimized structure of Al2SnHg.

Uncorrected energy   -29.677 eV/atom
Formation energy from the elements   0.220 eV per atom
ρ   7.1 g cm⁻³
Volume   347 Å³ per cell
Crystal system   tetragonal

```
data_Al2SnHg
_chemical_formula_sum 'Al8 Sn4 Hg4'
_space_group_name_H-M_alt 'I -4 2 d'
_space_group_IT_number 122
_space_group_name_Hall 'I -4 2bw'
_cell_length_a 7.679
_cell_length_b 7.679
_cell_length_c 5.893
_cell_angle_alpha 90.00
_cell_angle_beta 90.00
_cell_angle_gamma 90.00
loop_
_atom_site_label
_atom_site_fract_x
_atom_site_fract_y
_atom_site_fract_z
Al1 0.241 0.750 0.125
Sn1 0.000 0.000 0.500
Hg1 0.000 0.000 0.000
```

***

(2)
Density functional theory data (meta-GGA SCAN) for a PBEsol-optimized structure of SiPb2Se.

Uncorrected energy   -45.321 eV/atom
ρ   8.7 g cm⁻³
Volume   298 Å³ per cell
Crystal system   trigonal
Uncorrected formation energy   0.093 eV per atom

```
data_SiPb2Se
_chemical_formula_sum 'Si3 Pb6 Se3'
_space_group_name_H-M_alt 'R 3 m'
_space_group_IT_number 160
_space_group_name_Hall 'R 3 -2"'
_cell_length_a 3.4952
_cell_length_b 3.4952
_cell_length_c 28.1722
_cell_angle_alpha 90.00
_cell_angle_beta 90.00
_cell_angle_gamma 120.00
loop_
_atom_site_label
_atom_site_fract_x
_atom_site_fract_y
_atom_site_fract_z
Si1 0.0000 0.0000 0.0000
Pb1 0.0000 0.0000 0.2500
Pb2 0.0000 0.0000 0.4831
Se1 0.0000 0.0000 0.7177
```

***

(3)
Density functional theory data (meta-GGA SCAN) for a PBEsol-optimized structure of TaCo6Ni.

Uncorrected energy   -23.298 eV/atom
Formation energy from the elements   0.025 eV per atom
ρ   11.1 g cm⁻³
Volume   710 Å³ per cell
Crystal system   orthorhombic

```
data_TaCo6Ni
_chemical_formula_sum 'Ta8 Co48 Ni8'
_space_group_name_H-M_alt 'C m m m'
_space_group_IT_number 65
_space_group_name_Hall '-C 2 2'
_cell_length_a 7.034
_cell_length_b 10.045
_cell_length_c 10.046
_cell_angle_alpha 90.00
_cell_angle_beta 90.00
_cell_angle_gamma 90.00
loop_
_atom_site_label
_atom_site_fract_x
_atom_site_fract_y
_atom_site_fract_z
Ta1 0.000 0.000 0.248
Ta2 0.000 0.243 0.000
Co1 0.000 0.000 0.000
Co2 0.000 0.000 0.500
Co3 0.000 0.255 0.259
Co4 0.000 0.500 0.000
Co5 0.000 0.500 0.500
Co6 0.240 0.378 0.130
Co7 0.242 0.371 0.380
Ni1 0.000 0.243 0.500
Ni2 0.000 0.500 0.255
```

***

(4)
Density functional theory data (meta-GGA SCAN) for a PBEsol-optimized structure of H14RuS2N4O6.

Uncorrected energy   -7.340 eV/atom
ρ   2.5 g cm⁻³
Volume   442 Å³ per cell
Crystal system   monoclinic

```
data_H14RuS2N4O6
_chemical_formula_sum 'H28 Ru2 S4 N8 O12'
_space_group_name_H-M_alt 'P 1 21/c 1'
_space_group_IT_number 14
_cell_length_a 6.196
_cell_length_b 6.830
_cell_length_c 11.460
_cell_angle_alpha 90.00
_cell_angle_beta 114.41
_cell_angle_gamma 90.00
loop_
_space_group_symop_operation_xyz
'x,y,z'
'-x,-y,-z'
'-x,y+1/2,-z+1/2'
'x,-y+1/2,z+1/2'
loop_
_atom_site_label
_atom_site_fract_x
_atom_site_fract_y
_atom_site_fract_z
H1 0.042 0.018 0.335
H2 0.149 0.207 0.522
H3 0.185 0.596 0.759
H4 0.197 0.144 0.277
H5 0.296 0.526 0.406
H6 0.333 0.120 0.666
H7 0.398 0.178 0.109
Ru1 0.500 0.000 0.500
S1 0.352 0.739 0.559
N1 0.198 0.015 0.323
N2 0.325 0.185 0.583
O1 0.185 0.721 0.119
O2 0.190 0.607 0.437
O3 0.460 0.094 0.858
```

***

(5)
Density functional theory data (meta-GGA SCAN) for a PBEsol-optimized structure of TcBiP2S.

Uncorrected energy   -27.092 eV/atom
ρ   5.0 g cm⁻³
Volume   133 Å³ per cell
Crystal system   tetragonal
Uncorrected formation energy   1.721 eV per atom

```
data_TcBiP2S
_chemical_formula_sum 'Tc1 Bi1 P2 S1'
_space_group_name_H-M_alt 'P 4/m m m'
_space_group_IT_number 123
_space_group_name_Hall '-P 4 2'
_cell_length_a 5.108
_cell_length_b 5.108
_cell_length_c 5.082
_cell_angle_alpha 90.00
_cell_angle_beta 90.00
_cell_angle_gamma 90.00
loop_
_atom_site_label
_atom_site_fract_x
_atom_site_fract_y
_atom_site_fract_z
Tc1 0.000 0.000 0.000
Bi1 0.500 0.500 0.500
P1 0.000 0.500 0.500
S1 0.500 0.500 0.000
```

***

(6)
Density functional theory data (meta-GGA SCAN) for a PBEsol-optimized structure of SnRhAu2N.

Uncorrected energy   -43.029 eV/atom
ρ   11.1 g cm⁻³
Volume   94 Å³ per cell
Crystal system   tetragonal
Uncorrected formation energy   0.431 eV per atom

```
data_SnRhAu2N
_chemical_formula_sum 'Sn1 Rh1 Au2 N1'
_space_group_name_H-M_alt 'P 4/m m m'
_space_group_IT_number 123
_space_group_name_Hall '-P 4 2'
_cell_length_a 5.141
_cell_length_b 5.141
_cell_length_c 3.575
_cell_angle_alpha 90.00
_cell_angle_beta 90.00
_cell_angle_gamma 90.00
loop_
_atom_site_label
_atom_site_fract_x
_atom_site_fract_y
_atom_site_fract_z
Sn1 0.000 0.000 0.000
Rh1 0.500 0.500 0.500
Au1 0.000 0.500 0.500
N1 0.500 0.500 0.000
```

***

(7)
Density functional theory data (meta-GGA SCAN) for a PBEsol-optimized structure of Ga2Ag2Te.

Uncorrected energy   -26.413 eV/atom
ρ   8.1 g cm⁻³
Volume   198 Å³ per cell
Crystal system   tetragonal
Uncorrected formation energy   0.122 eV per atom

```
data_Ga2Ag2Te
_chemical_formula_sum 'Ga4 Ag4 Te2'
_space_group_name_H-M_alt 'I 4/m m m'
_space_group_IT_number 139
_space_group_name_Hall '-I 4 2'
_cell_length_a 3.990
_cell_length_b 3.990
_cell_length_c 12.443
_cell_angle_alpha 90.00
_cell_angle_beta 90.00
_cell_angle_gamma 90.00
loop_
_atom_site_label
_atom_site_fract_x
_atom_site_fract_y
_atom_site_fract_z
Ga1 0.000 0.000 0.101
Ag1 0.000 0.500 0.250
Te1 0.000 0.000 0.500
```

***

(8)
Density functional theory data (meta-GGA SCAN) for a PBEsol-optimized structure of Sc2SbAs.

Uncorrected energy   -21.684 eV/atom
ρ   5.3 g cm⁻³
Volume   267 Å³ per cell
Crystal system   trigonal
Uncorrected formation energy   -0.202 eV per atom

```
data_Sc2SbAs
_chemical_formula_sum 'Sc6 Sb3 As3'
_space_group_name_H-M_alt 'R 3 m'
_space_group_IT_number 160
_space_group_name_Hall 'R 3 -2"'
_cell_length_a 3.3596
_cell_length_b 3.3596
_cell_length_c 27.3298
_cell_angle_alpha 90.00
_cell_angle_beta 90.00
_cell_angle_gamma 120.00
loop_
_atom_site_label
_atom_site_fract_x
_atom_site_fract_y
_atom_site_fract_z
Sc1 0.0000 0.0000 0.0000
Sc2 0.0000 0.0000 0.2370
Sb1 0.0000 0.0000 0.7511
As1 0.0000 0.0000 0.4982
```

***

(9)
Density functional theory data (meta-GGA SCAN) for a PBEsol-optimized structure of Cs2SnGe.

Uncorrected energy   -32.325 eV/atom
Formation energy from the elements   0.332 eV per atom
ρ   4.7 g cm⁻³
Volume   651 Å³ per cell
Crystal system   cubic

```
data_Cs2SnGe
_chemical_formula_sum 'Cs8 Sn4 Ge4'
_space_group_name_H-M_alt 'F m -3 m'
_space_group_IT_number 225
_space_group_name_Hall '-F 4 2 3'
_cell_length_a 8.668
_cell_length_b 8.668
_cell_length_c 8.668
_cell_angle_alpha 90.00
_cell_angle_beta 90.00
_cell_angle_gamma 90.00
loop_
_atom_site_label
_atom_site_fract_x
_atom_site_fract_y
_atom_site_fract_z
Cs1 0.250 0.250 0.250
Sn1 0.000 0.000 0.000
Ge1 0.000 0.000 0.500
```

***

(10)
Density functional theory data (meta-GGA SCAN) for a PBEsol-optimized structure of CsPRhS2.

Uncorrected energy   -18.062 eV/atom
ρ   3.8 g cm⁻³
Volume   145 Å³ per cell
Crystal system   tetragonal
Uncorrected formation energy   2.185 eV per atom

```
data_CsPRhS2
_chemical_formula_sum 'Cs1 P1 Rh1 S2'
_space_group_name_H-M_alt 'P 4/m m m'
_space_group_IT_number 123
_space_group_name_Hall '-P 4 2'
_cell_length_a 5.262
_cell_length_b 5.262
_cell_length_c 5.233
_cell_angle_alpha 90.00
_cell_angle_beta 90.00
_cell_angle_gamma 90.00
loop_
_atom_site_label
_atom_site_fract_x
_atom_site_fract_y
_atom_site_fract_z
Cs1 0.000 0.000 0.000
P1 0.000 0.000 0.500
Rh1 0.500 0.500 0.500
S1 0.000 0.500 0.000
```

***

(11)
Density functional theory data (meta-GGA SCAN) for a PBEsol-optimized structure of ScCIO2.

Uncorrected energy   -14.317 eV/atom
ρ   5.4 g cm⁻³
Volume   66 Å³ per cell
Crystal system   tetragonal
Uncorrected formation energy   0.391 eV per atom

```
data_ScCIO2
_chemical_formula_sum 'Sc1 C1 I1 O2'
_space_group_name_H-M_alt 'P 4/m m m'
_space_group_IT_number 123
_space_group_name_Hall '-P 4 2'
_cell_length_a 3.968
_cell_length_b 3.968
_cell_length_c 4.194
_cell_angle_alpha 90.00
_cell_angle_beta 90.00
_cell_angle_gamma 90.00
loop_
_atom_site_label
_atom_site_fract_x
_atom_site_fract_y
_atom_site_fract_z
Sc1 0.000 0.000 0.000
C1 0.500 0.500 0.500
I1 0.500 0.500 0.000
O1 0.000 0.500 0.500
```

***

(12)
Density functional theory data (meta-GGA SCAN) for a PBEsol-optimized structure of BeTl2Si.

Uncorrected energy   -38.996 eV/atom
ρ   9.0 g cm⁻³
Volume   330 Å³ per cell
Crystal system   tetragonal
Uncorrected formation energy   0.776 eV per atom

```
data_BeTl2Si
_chemical_formula_sum 'Be4 Tl8 Si4'
_space_group_name_H-M_alt 'I -4 2 d'
_space_group_IT_number 122
_space_group_name_Hall 'I -4 2bw'
_cell_length_a 7.474
_cell_length_b 7.474
_cell_length_c 5.902
_cell_angle_alpha 90.00
_cell_angle_beta 90.00
_cell_angle_gamma 90.00
loop_
_atom_site_label
_atom_site_fract_x
_atom_site_fract_y
_atom_site_fract_z
Be1 0.000 0.000 0.000
Tl1 0.215 0.250 0.125
Si1 0.000 0.000 0.500
```

***

(13)
Density functional theory data (meta-GGA SCAN) for a PBEsol-optimized structure of YMoAu2.

Uncorrected energy   -50.286 eV/atom
Formation energy from the elements   -0.026 eV per atom
ρ   12.9 g cm⁻³
Volume   74 Å³ per cell
Crystal system   tetragonal

```
data_YMoAu2
_chemical_formula_sum 'Y1 Mo1 Au2'
_space_group_name_H-M_alt 'P 4 m m'
_space_group_IT_number 99
_cell_length_a 2.979
_cell_length_b 2.979
_cell_length_c 8.364
_cell_angle_alpha 90.00
_cell_angle_beta 90.00
_cell_angle_gamma 90.00
loop_
_space_group_symop_operation_xyz
'x,y,z'
'-y,x,z'
'-x,-y,z'
'y,-x,z'
'-x,y,z'
'y,x,z'
'x,-y,z'
'-y,-x,z'
loop_
_atom_site_label
_atom_site_fract_x
_atom_site_fract_y
_atom_site_fract_z
Y1 0.000 0.000 0.000
Mo1 0.500 0.500 0.722
Au1 0.000 0.000 0.507
Au2 0.500 0.500 0.263
```

***

(14)
Density functional theory data (meta-GGA SCAN) for a PBEsol-optimized structure of CsSn2Au.

Uncorrected energy   -44.355 eV/atom
Formation energy from the elements   0.348 eV per atom
ρ   8.7 g cm⁻³
Volume   432 Å³ per cell
Crystal system   cubic

```
data_CsSn2Au
_chemical_formula_sum 'Cs4 Sn8 Au4'
_space_group_name_H-M_alt 'F m -3 m'
_space_group_IT_number 225
_space_group_name_Hall '-F 4 2 3'
_cell_length_a 7.560
_cell_length_b 7.560
_cell_length_c 7.560
_cell_angle_alpha 90.00
_cell_angle_beta 90.00
_cell_angle_gamma 90.00
loop_
_atom_site_label
_atom_site_fract_x
_atom_site_fract_y
_atom_site_fract_z
Cs1 0.000 0.000 0.000
Sn1 0.250 0.250 0.250
Au1 0.000 0.000 0.500
```

***

(15)
Density functional theory data (meta-GGA SCAN) for a PBEsol-optimized structure of RbSb2MoI.

Uncorrected energy   -33.429 eV/atom
ρ   5.6 g cm⁻³
Volume   164 Å³ per cell
Crystal system   tetragonal
Uncorrected formation energy   -0.051 eV per atom

```
data_RbSb2MoI
_chemical_formula_sum 'Rb1 Sb2 Mo1 I1'
_space_group_name_H-M_alt 'P 4/m m m'
_space_group_IT_number 123
_space_group_name_Hall '-P 4 2'
_cell_length_a 5.155
_cell_length_b 5.155
_cell_length_c 6.171
_cell_angle_alpha 90.00
_cell_angle_beta 90.00
_cell_angle_gamma 90.00
loop_
_atom_site_label
_atom_site_fract_x
_atom_site_fract_y
_atom_site_fract_z
Rb1 0.000 0.000 0.000
Sb1 0.000 0.500 0.500
Mo1 0.500 0.500 0.500
I1 0.500 0.500 0.000
```

***

(16)
Density functional theory data (meta-GGA SCAN) for a PBEsol-optimized structure of LiAl2Cd.

Uncorrected energy   -12.170 eV/atom
Formation energy from the elements   -0.093 eV per atom
ρ   4.2 g cm⁻³
Volume   69 Å³ per cell
Crystal system   tetragonal

```
data_LiAl2Cd
_chemical_formula_sum 'Li1 Al2 Cd1'
_space_group_name_H-M_alt 'P 4/m m m'
_space_group_IT_number 123
_space_group_name_Hall '-P 4 2'
_cell_length_a 4.026
_cell_length_b 4.026
_cell_length_c 4.242
_cell_angle_alpha 90.00
_cell_angle_beta 90.00
_cell_angle_gamma 90.00
loop_
_atom_site_label
_atom_site_fract_x
_atom_site_fract_y
_atom_site_fract_z
Li1 0.000 0.000 0.000
Al1 0.000 0.500 0.500
Cd1 0.500 0.500 0.000
```

***

(17)
Density functional theory data (meta-GGA SCAN) for a PBEsol-optimized structure of CdCoBr2.

Uncorrected energy   -21.768 eV/atom
ρ   6.0 g cm⁻³
Volume   366 Å³ per cell
Crystal system   tetragonal
Uncorrected formation energy   -0.108 eV per atom

```
data_CdCoBr2
_chemical_formula_sum 'Cd4 Co4 Br8'
_space_group_name_H-M_alt 'I -4 2 d'
_space_group_IT_number 122
_space_group_name_Hall 'I -4 2bw'
_cell_length_a 8.416
_cell_length_b 8.416
_cell_length_c 5.161
_cell_angle_alpha 90.00
_cell_angle_beta 90.00
_cell_angle_gamma 90.00
loop_
_atom_site_label
_atom_site_fract_x
_atom_site_fract_y
_atom_site_fract_z
Cd1 0.000 0.000 0.000
Co1 0.000 0.000 0.500
Br1 0.108 0.750 0.625
```

***

(18)
Density functional theory data (meta-GGA SCAN) for a PBEsol-optimized structure of SnHgBr2.

Uncorrected energy   -36.051 eV/atom
ρ   7.5 g cm⁻³
Volume   423 Å³ per cell
Crystal system   cubic
Uncorrected formation energy   -0.299 eV per atom

```
data_SnHgBr2
_chemical_formula_sum 'Sn4 Hg4 Br8'
_space_group_name_H-M_alt 'F m -3 m'
_space_group_IT_number 225
_space_group_name_Hall '-F 4 2 3'
_cell_length_a 7.508
_cell_length_b 7.508
_cell_length_c 7.508
_cell_angle_alpha 90.00
_cell_angle_beta 90.00
_cell_angle_gamma 90.00
loop_
_atom_site_label
_atom_site_fract_x
_atom_site_fract_y
_atom_site_fract_z
Sn1 0.000 0.000 0.000
Hg1 0.000 0.000 0.500
Br1 0.250 0.250 0.250
```

***

(19)
Density functional theory data (meta-GGA SCAN) for a PBEsol-optimized structure of NiSbPPd2.

Uncorrected energy   -24.745 eV/atom
ρ   6.1 g cm⁻³
Volume   115 Å³ per cell
Crystal system   tetragonal
Uncorrected formation energy   1.131 eV per atom

```
data_NiSbPPd2
_chemical_formula_sum 'Ni1 Sb1 P1 Pd2'
_space_group_name_H-M_alt 'P 4/m m m'
_space_group_IT_number 123
_space_group_name_Hall '-P 4 2'
_cell_length_a 4.821
_cell_length_b 4.821
_cell_length_c 4.937
_cell_angle_alpha 90.00
_cell_angle_beta 90.00
_cell_angle_gamma 90.00
loop_
_atom_site_label
_atom_site_fract_x
_atom_site_fract_y
_atom_site_fract_z
Ni1 0.000 0.000 0.000
Sb1 0.500 0.500 0.500
P1 0.500 0.500 0.000
Pd1 0.000 0.500 0.500
```

***

(20)
Density functional theory data (meta-GGA SCAN) for a PBEsol-optimized structure of NdZnAsO.

Uncorrected energy   -22.872 eV/atom
ρ   7.0 g cm⁻³
Volume   143 Å³ per cell
Crystal system   tetragonal
Uncorrected formation energy   -1.992 eV per atom

```
data_NdZnAsO
_chemical_formula_sum 'Nd2 Zn2 As2 O2'
_space_group_name_H-M_alt 'P 4/n m m'
_space_group_IT_number 129
_cell_length_a 4.007
_cell_length_b 4.007
_cell_length_c 8.906
_cell_angle_alpha 90.00
_cell_angle_beta 90.00
_cell_angle_gamma 90.00
loop_
_space_group_symop_operation_xyz
'x,y,z'
'-x,-y,-z'
'-y+1/2,x,z'
'y+1/2,-x,-z'
'-x+1/2,-y+1/2,z'
'x+1/2,y+1/2,-z'
'y,-x+1/2,z'
'-y,x+1/2,-z'
'x+1/2,-y,-z'
'-x+1/2,y,z'
'-y,-x,-z'
'y,x,z'
'-x,y+1/2,-z'
'x,-y+1/2,z'
'y+1/2,x+1/2,-z'
'-y+1/2,-x+1/2,z'
loop_
_atom_site_label
_atom_site_fract_x
_atom_site_fract_y
_atom_site_fract_z
Nd1 0.250 0.250 0.132
Zn1 0.250 0.750 0.500
As1 0.250 0.250 0.677
O1 0.250 0.750 0.000
```